[1]
VASP calculation (PBE-GGA) on a relaxed structure of TbSm8Sc2.

Results
E_form in eV/atom: 0.124
E_tot in eV/atom: -4.88
E above lowest polymorph in eV per formula unit: 0.00

The structure in CIF format:
```
data_TbSm8Sc2
_chemical_formula_sum 'Tb2 Sm16 Sc4'
_space_group_name_H-M_alt 'I m m m'
_space_group_IT_number 71
_space_group_name_Hall '-I 2 2'
_cell_length_a 5.482
_cell_length_b 8.325
_cell_length_c 15.630
_cell_angle_alpha 90.00
_cell_angle_beta 90.00
_cell_angle_gamma 90.00
loop_
_atom_site_label
_atom_site_fract_x
_atom_site_fract_y
_atom_site_fract_z
Tb1 0.000 0.000 0.000
Sm1 0.000 0.200 0.500
Sm2 0.000 0.297 0.143
Sm3 0.000 0.500 0.338
Sc1 0.000 0.000 0.299
```

[2]
VASP calculation (PBE-GGA) on a relaxed structure of Pr2Nd2Y.

Results
E_form in eV/atom: 0.276
E_tot in eV/atom: -4.84
E above lowest polymorph in eV per formula unit: 1.24

The structure in CIF format:
```
data_Pr2Nd2Y
_chemical_formula_sum 'Pr8 Nd8 Y4'
_space_group_name_H-M_alt 'C m c m'
_space_group_IT_number 63
_space_group_name_Hall '-C 2c 2'
_cell_length_a 6.975
_cell_length_b 16.608
_cell_length_c 6.412
_cell_angle_alpha 90.00
_cell_angle_beta 90.00
_cell_angle_gamma 90.00
loop_
_atom_site_label
_atom_site_fract_x
_atom_site_fract_y
_atom_site_fract_z
Pr1 0.000 0.096 0.250
Pr2 0.000 0.330 0.750
Nd1 0.239 0.330 0.250
Y1 0.000 0.500 0.000
```

[3]
VASP calculation (PBE-GGA) on a relaxed structure of CeLuIrPd.

Results
E_form in eV/atom: -0.798
E_tot in eV/atom: -6.92

The structure in CIF format:
```
data_CeLuIrPd
_chemical_formula_sum 'Ce4 Lu4 Ir4 Pd4'
_space_group_name_H-M_alt 'F -4 3 m'
_space_group_IT_number 216
_space_group_name_Hall 'F -4 2 3'
_cell_length_a 6.948
_cell_length_b 6.948
_cell_length_c 6.948
_cell_angle_alpha 90.00
_cell_angle_beta 90.00
_cell_angle_gamma 90.00
loop_
_atom_site_label
_atom_site_fract_x
_atom_site_fract_y
_atom_site_fract_z
Ce1 0.000 0.000 0.000
Lu1 0.000 0.000 0.500
Ir1 0.250 0.250 0.250
Pd1 0.250 0.250 0.750
```